SrPmCu | Alexandria | PBE-GGA | optimized geometry; crystal system = tetragonal; M_tot = 0.00 μB per formula unit; ΔE to the lowest computed polymorph = 0 meV per atom; ΔH_f (0 K) = -5.6 meV per atom; E_tot = -3.515 eV/atom; space group = No. 107
1.0
-2.3341 2.3228 1.7093
-0.3842 -2.4298 2.7773
6.5445 2.9022 0.9663
Sr Cu Pm
1 1 1
direct
0.0266 0.0266 0.0532
0.6830 0.6830 0.3659
0.2904 0.2904 0.5809